Entry from the Open Quantum Materials Database: a relaxed LaTb2Zn2Si4Au2 crystal (PBE-GGA).

Cell and atoms, written as POSCAR:
```
LaTb2Zn2Si4Au2
1.0
0.641 -8.227 9.650
-0.791 -3.075 12.294
-2.816 5.009 -11.322
Tb Au Si Zn La
2 2 4 2 1
Direct
0.146 0.646 0.500
0.854 0.354 0.500
0.251 0.251 0.000
0.749 0.749 0.000
0.549 0.549 0.000
0.310 0.810 0.500
0.451 0.451 0.000
0.690 0.190 0.500
0.596 0.096 0.500
0.404 0.904 0.500
0.000 0.000 0.000
```

## Properties
* total moment: 0.002 μB per formula unit
* space group: Immm
* DFT total energy: -4.696 eV per atom
* crystal system: orthorhombic